P.
A relaxed structure of BaIr3Pb, computed with PBE-GGA.

Lattice parameters (Å, degrees): 5.1666 5.1666 5.1666 90.00 90.00 90.00
Closest atoms and distances in Å follow each position.
Positions (direct):
Ir: 0.5000 0.0000 0.0000  2 Ba 2.58
Ir: 0.0000 0.5000 0.0000  2 Ba 2.58
Ir: 0.0000 0.0000 0.5000  2 Ba 2.58
Pb: 0.5000 0.5000 0.5000  12 Ir 3.65
Ba: 0.0000 0.0000 0.0000  6 Ir 2.58

Calculated values
calculated volume	27.58	Å³ per atom

***

Q.
A relaxed structure of BaIr3Pb, computed with PBE-GGA.

Lattice parameters (Å, degrees): 5.1091 5.1091 5.1091 90.00 90.00 90.00
Closest atoms and distances in Å follow each position.
Positions (direct):
Ir: 0.0000 0.0000 0.5000  2 Pb 2.55
Ir: 0.5000 0.0000 0.0000  2 Pb 2.55
Ir: 0.0000 0.5000 0.0000  2 Pb 2.55
Pb: 0.0000 0.0000 0.0000  6 Ir 2.55
Ba: 0.5000 0.5000 0.5000  12 Ir 3.61

Calculated values
calculated volume	26.67	Å³ per atom

***

Stability, lowest: P

***

P.
A relaxed structure of BaIrPd2, computed with PBE-GGA.

Lattice parameters (Å, degrees): 5.8868 4.4561 14.3392 90.00 113.76 90.00
Closest atoms and distances in Å follow each position.
Positions (direct):
Pd: 0.7500 0.5000 0.2967  3 Ir 2.86-2.95, 5 Pd 2.91-3.10
Pd: 0.7500 0.0000 0.7967  3 Ir 2.86-2.95, 5 Pd 2.91-3.10
Pd: 0.0867 0.5000 0.8836  6 Pd 2.68-2.91
Pd: 0.2553 0.0000 0.7980  3 Ir 2.79-2.94, 5 Pd 2.90-2.97
Pd: 0.2263 0.0000 0.9964  3 Pd 2.68-2.92, 3 Ir 2.70-2.71
Pd: 0.2263 0.5000 0.4964  3 Pd 2.68-2.92, 3 Ir 2.70-2.71
Pd: 0.0867 0.0000 0.3836  6 Pd 2.68-2.91
Pd: 0.2553 0.5000 0.2980  3 Ir 2.79-2.94, 5 Pd 2.90-2.97
Ir: 0.4059 0.5000 0.7018  2 Ir 2.52, 1 Pd 2.70
Ir: 0.4059 0.0000 0.2018  2 Ir 2.52, 1 Pd 2.70
Ir: 0.3072 0.0000 0.6128  2 Ir 2.52, 3 Pd 2.71-2.79
Ir: 0.3072 0.5000 0.1128  2 Ir 2.52, 3 Pd 2.71-2.79
Ba: 0.8590 0.5000 0.6519  2 Ir 3.00-3.03, 5 Pd 3.04-3.29
Ba: 0.8590 0.0000 0.1519  2 Ir 3.00-3.03, 5 Pd 3.04-3.29
Ba: 0.6446 0.0000 0.4408  6 Pd 3.03-3.26, 1 Ir 3.14
Ba: 0.6446 0.5000 0.9408  6 Pd 3.03-3.26, 1 Ir 3.14

Calculated values
calculated volume	21.52	Å³ per atom

***

Q.
A relaxed structure of BaIrPd2, computed with PBE-GGA.

Lattice parameters (Å, degrees): 7.4548 4.5403 11.8901 90.00 118.17 90.00
Closest atoms and distances in Å follow each position.
Positions (direct):
Pd: 0.9971 0.0000 0.9801  3 Ir 2.58-2.77, 3 Pd 2.67-2.89
Pd: 0.9971 0.5000 0.4801  3 Ir 2.58-2.77, 3 Pd 2.67-2.89
Pd: 0.1999 0.5000 0.0766  5 Pd 2.67-2.91, 1 Ir 2.94
Pd: 0.5756 0.0000 0.5584  2 Ir 2.64-2.65, 1 Pd 2.91
Pd: 0.1999 0.0000 0.5766  5 Pd 2.67-2.91, 1 Ir 2.94
Pd: 0.5756 0.5000 0.0584  2 Ir 2.64-2.65, 1 Pd 2.91
Pd: 0.4044 0.5000 0.6920  3 Ir 2.69-2.74, 3 Pd 2.72-2.89
Pd: 0.4044 0.0000 0.1920  3 Ir 2.69-2.74, 3 Pd 2.72-2.89
Ir: 0.6299 0.5000 0.2948  4 Pd 2.58-2.74, 2 Ir 2.60
Ir: 0.7562 0.5000 0.9123  2 Ir 2.60, 4 Pd 2.65-2.77
Ir: 0.7562 0.0000 0.4123  2 Ir 2.60, 4 Pd 2.65-2.77
Ir: 0.6299 0.0000 0.7948  4 Pd 2.58-2.74, 2 Ir 2.60
Ba: 0.3220 0.0000 0.8872  1 Ir 2.98, 3 Pd 3.04-3.10
Ba: 0.8858 0.5000 0.6939  3 Pd 3.02-3.10, 1 Ir 3.17
Ba: 0.8858 0.0000 0.1939  3 Pd 3.02-3.10, 1 Ir 3.17
Ba: 0.3220 0.5000 0.3872  1 Ir 2.98, 3 Pd 3.04-3.10

Calculated values
calculated volume	22.17	Å³ per atom

***

Stability, lowest: P

***

P.
A relaxed structure of BaIrPd2, computed with PBE-GGA.

Lattice parameters (Å, degrees): 5.0204 5.0204 9.4444 74.59 74.59 90.00
Closest atoms and distances in Å follow each position.
Positions (direct):
Ba: 0.5000 0.5000 0.0000  8 Pd 3.39-3.74, 4 Ir 3.55
Ba: 0.2500 0.7500 0.5000  8 Pd 3.39-3.74, 4 Ir 3.55
Pd: 0.3750 0.1745 0.7500  2 Ir 2.53, 2 Pd 2.56
Pd: 0.8750 0.0755 0.7500  2 Ir 2.53, 2 Pd 2.56
Pd: 0.8255 0.1250 0.2500  2 Ir 2.53, 2 Pd 2.56
Pd: 0.9245 0.6250 0.2500  2 Ir 2.53, 2 Pd 2.56
Ir: 0.0000 0.0000 0.0000  4 Pd 2.53
Ir: 0.7500 0.2500 0.5000  4 Pd 2.53

Calculated values
calculated volume	27.57	Å³ per atom

***

Q.
A relaxed structure of BaIrPd2, computed with PBE-GGA.

Lattice parameters (Å, degrees): 8.1319 4.5654 11.3497 90.00 124.39 90.00
Closest atoms and distances in Å follow each position.
Positions (direct):
Ba: 0.1213 0.5000 0.5182  8 Pd 3.08-3.40, 1 Ir 3.44
Ba: 0.6871 0.5000 0.8728  5 Pd 3.03-3.39, 2 Ir 3.06-3.25
Ba: 0.6871 0.0000 0.3728  5 Pd 3.03-3.39, 2 Ir 3.06-3.25
Ba: 0.1213 0.0000 0.0182  8 Pd 3.08-3.40, 1 Ir 3.44
Pd: 0.2972 0.5000 0.8945  5 Pd 2.69-2.90, 1 Ir 2.74
Pd: 0.1166 0.0000 0.7382  3 Ir 2.73-2.79, 4 Pd 2.75-2.84
Pd: 0.1166 0.5000 0.2382  3 Ir 2.73-2.79, 4 Pd 2.75-2.84
Pd: 0.5068 0.5000 0.4938  3 Ir 2.64-2.86, 3 Pd 2.69-2.84
Pd: 0.2972 0.0000 0.3945  5 Pd 2.69-2.90, 1 Ir 2.74
Pd: 0.5068 0.0000 0.9938  3 Ir 2.64-2.86, 3 Pd 2.69-2.84
Pd: 0.4183 0.5000 0.1886  1 Ir 2.75, 2 Pd 2.81-2.90, 2 Ba 3.03
Pd: 0.4183 0.0000 0.6886  1 Ir 2.75, 2 Pd 2.81-2.90, 2 Ba 3.03
Ir: 0.8926 0.5000 0.6968  2 Ir 2.55, 4 Pd 2.64-2.79
Ir: 0.7310 0.5000 0.1587  2 Ir 2.55, 2 Pd 2.73-2.75
Ir: 0.7310 0.0000 0.6587  2 Ir 2.55, 2 Pd 2.73-2.75
Ir: 0.8926 0.0000 0.1968  2 Ir 2.55, 4 Pd 2.64-2.79

Calculated values
calculated volume	21.73	Å³ per atom

***

R.
A relaxed structure of BaIrPd2, computed with PBE-GGA.

Lattice parameters (Å, degrees): 4.5089 4.5089 16.4278 90.00 90.00 120.00
Closest atoms and distances in Å follow each position.
Positions (direct):
Ir: 0.6667 0.3333 0.8333  6 Pd 2.64
Ir: 0.0000 0.0000 0.5000  6 Pd 2.64
Ir: 0.3333 0.6667 0.1667  6 Pd 2.64
Ba: 0.3333 0.6667 0.6667  8 Pd 3.17-3.48
Ba: 0.0000 0.0000 0.0000  8 Pd 3.17-3.48
Ba: 0.6667 0.3333 0.3333  8 Pd 3.17-3.48
Pd: 0.6667 0.3333 0.5262  3 Ir 2.64, 3 Pd 2.74
Pd: 0.6667 0.3333 0.1405  3 Ir 2.64, 3 Pd 2.74
Pd: 0.3333 0.6667 0.4738  3 Ir 2.64, 3 Pd 2.74
Pd: 0.3333 0.6667 0.8595  3 Ir 2.64, 3 Pd 2.74
Pd: 0.0000 0.0000 0.8072  3 Ir 2.64, 3 Pd 2.74
Pd: 0.0000 0.0000 0.1928  3 Ir 2.64, 3 Pd 2.74

Calculated values
calculated volume	24.10	Å³ per atom

***

Stability, lowest: P

***

P.
A relaxed structure of BaIrPd2, computed with PBE-GGA.

Lattice parameters (Å, degrees): 5.8278 4.4632 14.2333 90.00 114.08 90.00
Closest atoms and distances in Å follow each position.
Positions (direct):
Ba: 0.8960 0.0000 0.6464  7 Pd 3.01-3.28
Ba: 0.1040 0.5000 0.8536  7 Pd 3.01-3.28
Ba: 0.1040 0.0000 0.3536  7 Pd 3.01-3.28
Ba: 0.8960 0.5000 0.1464  7 Pd 3.01-3.28
Pd: 0.0000 0.0000 0.0000  6 Pd 2.88-2.91, 2 Ir 3.02
Pd: 0.6655 0.0000 0.4151  3 Ir 2.71-2.76, 4 Pd 2.88, 3 Ba 3.01-3.02
Pd: 0.5000 0.5000 0.5000  6 Pd 2.88-2.91, 2 Ir 3.00
Pd: 0.0000 0.5000 0.5000  6 Pd 2.88-2.91, 2 Ir 3.02
Pd: 0.6655 0.5000 0.9151  3 Ir 2.71-2.76, 4 Pd 2.88, 3 Ba 3.01-3.02
Pd: 0.3345 0.0000 0.5849  3 Ir 2.71-2.76, 4 Pd 2.88, 3 Ba 3.01-3.02
Pd: 0.5000 0.0000 0.0000  6 Pd 2.88-2.91, 2 Ir 3.00
Pd: 0.3345 0.5000 0.0849  3 Ir 2.71-2.76, 4 Pd 2.88, 3 Ba 3.01-3.02
Ir: 0.5453 0.5000 0.2972  2 Ir 2.55, 3 Pd 2.71-2.76
Ir: 0.4547 0.5000 0.7028  2 Ir 2.55, 3 Pd 2.71-2.76
Ir: 0.4547 0.0000 0.2028  2 Ir 2.55, 3 Pd 2.71-2.76
Ir: 0.5453 0.0000 0.7972  2 Ir 2.55, 3 Pd 2.71-2.76

Calculated values
calculated volume	21.13	Å³ per atom

***

Q.
A relaxed structure of BaIrPd2, computed with PBE-GGA.

Lattice parameters (Å, degrees): 8.6860 4.5829 11.0781 90.00 128.23 90.00
Closest atoms and distances in Å follow each position.
Positions (direct):
Pd: 0.2979 0.5000 0.9510  3 Ir 2.66-2.81, 4 Pd 2.73-2.96
Pd: 0.0000 0.5000 0.0000  2 Ir 2.71, 2 Pd 2.95, 4 Ba 3.03
Pd: 0.5000 0.5000 0.5000  4 Pd 2.73, 2 Ir 2.84
Pd: 0.2979 0.0000 0.4510  3 Ir 2.66-2.81, 4 Pd 2.73-2.96
Pd: 0.0000 0.0000 0.5000  2 Ir 2.71, 2 Pd 2.95, 4 Ba 3.03
Pd: 0.7021 0.5000 0.0490  3 Ir 2.66-2.81, 4 Pd 2.73-2.96
Pd: 0.7021 0.0000 0.5490  3 Ir 2.66-2.81, 4 Pd 2.73-2.96
Pd: 0.5000 0.0000 0.0000  4 Pd 2.73, 2 Ir 2.84
Ir: 0.0846 0.0000 0.7805  2 Ir 2.58, 5 Pd 2.66-2.84
Ir: 0.9154 0.0000 0.2195  2 Ir 2.58, 5 Pd 2.66-2.84
Ir: 0.0846 0.5000 0.2805  2 Ir 2.58, 5 Pd 2.66-2.84
Ir: 0.9154 0.5000 0.7195  2 Ir 2.58, 5 Pd 2.66-2.84
Ba: 0.2867 0.0000 0.1697  6 Pd 3.03-3.38
Ba: 0.2867 0.5000 0.6697  6 Pd 3.03-3.38
Ba: 0.7133 0.0000 0.8303  6 Pd 3.03-3.38
Ba: 0.7133 0.5000 0.3303  6 Pd 3.03-3.38

Calculated values
calculated volume	21.65	Å³ per atom

***

Stability, lowest: P

***

P.
A relaxed structure of BaIrPd2, computed with PBE-GGA.

Lattice parameters (Å, degrees): 4.5310 4.5310 16.5132 90.00 90.00 120.00
Closest atoms and distances in Å follow each position.
Positions (direct):
Ir: 0.6667 0.3333 0.3013  6 Pd 2.62-2.71
Ir: 0.3333 0.6667 0.6346  6 Pd 2.62-2.71
Ir: 0.0000 0.0000 0.9680  6 Pd 2.62-2.71
Pd: 0.0000 0.0000 0.3436  3 Pd 2.68, 3 Ir 2.71
Pd: 0.6667 0.3333 0.9739  3 Ir 2.62, 3 Pd 2.68
Pd: 0.3333 0.6667 0.0103  3 Pd 2.68, 3 Ir 2.71
Pd: 0.3333 0.6667 0.3073  3 Ir 2.62, 3 Pd 2.68
Pd: 0.0000 0.0000 0.6406  3 Ir 2.62, 3 Pd 2.68
Pd: 0.6667 0.3333 0.6769  3 Pd 2.68, 3 Ir 2.71
Ba: 0.0000 0.0000 0.1549  1 Ir 3.09, 1 Pd 3.12
Ba: 0.6667 0.3333 0.4882  1 Ir 3.09, 1 Pd 3.12
Ba: 0.3333 0.6667 0.8215  1 Ir 3.09, 1 Pd 3.12

Calculated values
calculated volume	24.47	Å³ per atom

***

Q.
A relaxed structure of BaIrPd2, computed with PBE-GGA.

Lattice parameters (Å, degrees): 4.8805 4.8805 4.8805 60.00 60.00 60.00
Closest atoms and distances in Å follow each position.
Positions (direct):
Ir: 0.5000 0.5000 0.5000  8 Pd 2.99
Pd: 0.7500 0.7500 0.7500  4 Ba 2.99, 4 Ir 2.99
Pd: 0.2500 0.2500 0.2500  4 Ir 2.99, 4 Ba 2.99
Ba: 0.0000 0.0000 0.0000  8 Pd 2.99

Calculated values
calculated volume	20.55	Å³ per atom

***

R.
A relaxed structure of BaIrPd2, computed with PBE-GGA.

Lattice parameters (Å, degrees): 5.3436 6.1318 6.8397 112.24 94.77 113.60
Closest atoms and distances in Å follow each position.
Positions (direct):
Ba: 0.1147 0.5695 0.5970  6 Pd 3.09-3.39, 2 Ir 3.31-3.46
Ba: 0.8179 0.8682 0.0491  6 Pd 3.13-3.49, 2 Ir 3.32-3.34
Ir: 0.5397 0.3328 0.1336  1 Ir 2.46, 4 Pd 2.58-2.73
Ir: 0.6870 0.1980 0.7950  1 Ir 2.46, 5 Pd 2.64-2.74
Pd: 0.1494 0.5137 0.1326  2 Ir 2.65-2.73, 2 Pd 2.76-2.80
Pd: 0.6669 0.7858 0.4572  2 Ir 2.58-2.66, 3 Pd 2.68-2.82
Pd: 0.1728 0.1587 0.7469  3 Ir 2.64-2.74, 3 Pd 2.68-2.90
Pd: 0.4458 0.1084 0.3946  2 Ir 2.61-2.68, 2 Pd 2.82-2.90

Calculated values
calculated volume	22.83	Å³ per atom

***

Stability, lowest: Q

***

P.
A relaxed structure of BaIr3Pd, computed with PBE-GGA.

Lattice parameters (Å, degrees): 4.9191 4.9191 4.9191 90.00 90.00 90.00
Closest atoms and distances in Å follow each position.
Positions (direct):
Ir: 0.0000 0.0000 0.5000  2 Pd 2.46
Ir: 0.5000 0.0000 0.0000  2 Pd 2.46
Ir: 0.0000 0.5000 0.0000  2 Pd 2.46
Ba: 0.5000 0.5000 0.5000  12 Ir 3.48
Pd: 0.0000 0.0000 0.0000  6 Ir 2.46

Calculated values
calculated volume	23.81	Å³ per atom

***

Q.
A relaxed structure of BaIr3Pd, computed with PBE-GGA.

Lattice parameters (Å, degrees): 5.0720 5.0720 5.0720 90.00 90.00 90.00
Closest atoms and distances in Å follow each position.
Positions (direct):
Ir: 0.0000 0.0000 0.5000  2 Ba 2.54
Ir: 0.0000 0.5000 0.0000  2 Ba 2.54
Ir: 0.5000 0.0000 0.0000  2 Ba 2.54
Pd: 0.5000 0.5000 0.5000  12 Ir 3.59
Ba: 0.0000 0.0000 0.0000  6 Ir 2.54

Calculated values
calculated volume	26.10	Å³ per atom

***

Stability, lowest: Q

***

P.
A relaxed structure of BaSn2IrPd, computed with PBE-GGA.

Lattice parameters (Å, degrees): 5.0752 5.3611 5.0752 90.00 90.00 90.00
Closest atoms and distances in Å follow each position.
Positions (direct):
Pd: 0.0000 0.0000 0.0000  4 Sn 2.54, 2 Ir 2.68
Sn: 0.0000 0.0000 0.5000  2 Pd 2.54
Sn: 0.5000 0.0000 0.0000  2 Pd 2.54
Ba: 0.5000 0.5000 0.5000  4 Ir 3.59, 8 Sn 3.69
Ir: 0.0000 0.5000 0.0000  2 Pd 2.68

Calculated values
calculated volume	27.62	Å³ per atom

***

Q.
A relaxed structure of BaSn2IrPd, computed with PBE-GGA.

Lattice parameters (Å, degrees): 4.6838 4.6838 6.6604 110.59 110.59 90.00
Closest atoms and distances in Å follow each position.
Positions (direct):
Ir: 0.7500 0.2500 0.5000  4 Sn 2.67
Sn: 0.3606 0.3606 0.7212  2 Ir 2.67, 2 Pd 2.67
Sn: 0.6394 0.6394 0.2788  2 Ir 2.67, 2 Pd 2.67
Pd: 0.2500 0.7500 0.5000  4 Sn 2.67
Ba: 0.0000 0.0000 0.0000  8 Sn 3.68, 4 Ir 3.72, 4 Pd 3.72

Calculated values
calculated volume	25.35	Å³ per atom

***

Stability, lowest: P

***

P.
A relaxed structure of BaVIrPd2, computed with PBE-GGA.

Lattice parameters (Å, degrees): 4.9002 4.6563 4.9002 90.00 90.00 90.00
Closest atoms and distances in Å follow each position.
Positions (direct):
Ba: 0.5000 0.5000 0.5000  8 Pd 3.38, 4 Ir 3.46
Ir: 0.0000 0.5000 0.0000  2 V 2.33
Pd: 0.5000 0.0000 0.0000  2 V 2.45
Pd: 0.0000 0.0000 0.5000  2 V 2.45
V: 0.0000 0.0000 0.0000  2 Ir 2.33, 4 Pd 2.45

Calculated values
calculated volume	22.36	Å³ per atom

***

Q.
A relaxed structure of BaVIrPd2, computed with PBE-GGA.

Lattice parameters (Å, degrees): 5.0516 5.0084 5.0516 90.00 90.00 90.00
Closest atoms and distances in Å follow each position.
Positions (direct):
V: 0.0000 0.5000 0.0000  2 Ba 2.50
Pd: 0.0000 0.0000 0.5000  2 Ba 2.53
Pd: 0.5000 0.0000 0.0000  2 Ba 2.53
Ba: 0.0000 0.0000 0.0000  2 V 2.50, 4 Pd 2.53
Ir: 0.5000 0.5000 0.5000  8 Pd 3.56, 4 V 3.57

Calculated values
calculated volume	25.56	Å³ per atom

***

Stability, lowest: Q

***

P.
A relaxed structure of BaPm2Ir, computed with PBE-GGA.

Lattice parameters (Å, degrees): 4.2503 4.2503 10.1568 77.92 77.92 60.00
Closest atoms and distances in Å follow each position.
Positions (direct):
Pm: 0.2851 0.2851 0.1448  3 Ir 2.84
Pm: 0.7149 0.7149 0.8552  3 Ir 2.84
Ir: 0.0000 0.0000 0.0000  6 Pm 2.84
Ba: 0.5000 0.5000 0.5000  6 Ba 4.25, 6 Pm 4.28

Calculated values
calculated volume	38.55	Å³ per atom

***

Q.
A relaxed structure of BaPm2Ir, computed with PBE-GGA.

Lattice parameters (Å, degrees): 3.6464 3.6464 10.1378 90.00 90.00 90.00
Closest atoms and distances in Å follow each position.
Positions (direct):
Ir: 0.5000 0.5000 0.0000  8 Pm 3.04
Pm: 0.0000 0.0000 0.8413  4 Ir 3.04, 1 Pm 3.22
Pm: 0.0000 0.0000 0.1587  4 Ir 3.04, 1 Pm 3.22
Ba: 0.5000 0.5000 0.5000  4 Ba 3.65

Calculated values
calculated volume	33.70	Å³ per atom

***

Stability, lowest: Q

***

P.
A relaxed structure of BaIrPt2, computed with PBE-GGA.

Lattice parameters (Å, degrees): 5.0765 5.0765 9.3893 74.32 74.32 90.00
Closest atoms and distances in Å follow each position.
Positions (direct):
Ir: 0.7500 0.2500 0.5000  4 Pt 2.52
Ir: 0.0000 0.0000 0.0000  4 Pt 2.52
Pt: 0.8750 0.0824 0.7500  2 Ir 2.52, 2 Pt 2.57
Pt: 0.8324 0.1250 0.2500  2 Ir 2.52, 2 Pt 2.57
Pt: 0.3750 0.1676 0.7500  2 Ir 2.52, 2 Pt 2.57
Pt: 0.9176 0.6250 0.2500  2 Ir 2.52, 2 Pt 2.57
Ba: 0.2500 0.7500 0.5000  8 Pt 3.42-3.73, 4 Ir 3.59
Ba: 0.5000 0.5000 0.0000  8 Pt 3.42-3.73, 4 Ir 3.59

Calculated values
calculated volume	27.95	Å³ per atom

***

Q.
A relaxed structure of BaIrPt2, computed with PBE-GGA.

Lattice parameters (Å, degrees): 6.9766 5.2168 3.0170 90.01 64.38 122.96
Closest atoms and distances in Å follow each position.
Positions (direct):
Ba: 0.0000 0.5000 0.5000  8 Pt 3.01, 2 Ba 3.02, 2 Ir 3.15
Pt: 0.5000 0.0000 0.5000  4 Ba 3.01, 4 Ir 3.01, 4 Pt 3.02-3.15
Pt: 0.0000 0.0000 0.0000  4 Ir 3.01, 4 Ba 3.01, 4 Pt 3.02-3.15
Ir: 0.5000 0.5000 0.0000  8 Pt 3.01, 2 Ir 3.02, 2 Ba 3.15

Calculated values
calculated volume	19.74	Å³ per atom

***

R.
A relaxed structure of BaIrPt2, computed with PBE-GGA.

Lattice parameters (Å, degrees): 4.3643 2.9593 6.9811 73.49 90.00 90.00
Closest atoms and distances in Å follow each position.
Positions (direct):
Pt: 0.5000 0.0644 0.2037  2 Ir 2.73-2.74, 4 Pt 2.76-2.96
Pt: 0.0000 0.2490 0.9504  4 Ir 2.69-2.72, 4 Pt 2.76-2.96
Ba: 0.0000 0.3884 0.4851  2 Ba 2.96, 5 Pt 3.16-3.26
Ir: 0.5000 0.7982 0.8607  6 Pt 2.69-2.74, 2 Ir 2.96

Calculated values
calculated volume	21.61	Å³ per atom

***

Stability, lowest: Q